PrDyYTl | GGA-PBE | relaxed Values from VASP.

Properties
Relative energy among the computed polymorphs = 0 meV per atom
SG = Pmmm (47)
Formation energy from the elements = -0.189 eV/atom
Crystal system = orthorhombic

The structure in Quantum ESPRESSO input format:
```
&SYSTEM
  ibrav = 0, nat = 4, ntyp = 4
/
ATOMIC_SPECIES
Pr 140.91 Pr.upf
Dy 162.50 Dy.upf
Y 88.91 Y.upf
Tl 204.38 Tl.upf
ATOMIC_POSITIONS crystal
Pr 0.000 0.000 0.000
Dy 0.500 0.500 0.000
Y 0.500 0.000 0.500
Tl 0.000 0.500 0.500
CELL_PARAMETERS angstrom
4.855 0.000 0.000
0.000 4.906 0.000
0.000 0.000 5.001
```


Pr2DyTl2Zn2 | GGA-PBE | relaxed Values from VASP.

Properties
SG = R-3m (166)
Formation energy from the elements = -0.185 eV/atom
Crystal system = trigonal

The structure in Quantum ESPRESSO input format:
```
&SYSTEM
  ibrav = 0, nat = 7, ntyp = 4
/
ATOMIC_SPECIES
Pr 140.91 Pr.upf
Dy 162.50 Dy.upf
Tl 204.38 Tl.upf
Zn 65.41 Zn.upf
ATOMIC_POSITIONS crystal
Pr 0.125 0.125 0.125
Pr 0.875 0.875 0.875
Dy 0.000 0.000 0.000
Tl 0.268 0.268 0.268
Tl 0.732 0.732 0.732
Zn 0.387 0.387 0.387
Zn 0.613 0.613 0.613
CELL_PARAMETERS angstrom
2.384 1.376 9.577
-2.384 1.376 9.577
0.000 -2.753 9.577
```


PrDy2Tl2Zn2 | GGA-PBE | relaxed Values from VASP.

Properties
SG = R-3m (166)
Formation energy from the elements = -0.181 eV/atom
Crystal system = trigonal

The structure in Quantum ESPRESSO input format:
```
&SYSTEM
  ibrav = 0, nat = 7, ntyp = 4
/
ATOMIC_SPECIES
Pr 140.91 Pr.upf
Dy 162.50 Dy.upf
Tl 204.38 Tl.upf
Zn 65.41 Zn.upf
ATOMIC_POSITIONS crystal
Pr 0.000 0.000 0.000
Dy 0.131 0.131 0.131
Dy 0.869 0.869 0.869
Tl 0.264 0.264 0.264
Tl 0.736 0.736 0.736
Zn 0.424 0.424 0.424
Zn 0.576 0.576 0.576
CELL_PARAMETERS angstrom
2.399 1.385 9.128
-2.399 1.385 9.128
0.000 -2.770 9.128
```


Pr4Dy10Tm | GGA-PBE | relaxed Values from VASP.

Properties
SG = I4/mmm (139)
Formation energy from the elements = 0.264 eV/atom
Crystal system = tetragonal

The structure in Quantum ESPRESSO input format:
```
&SYSTEM
  ibrav = 0, nat = 15, ntyp = 3
/
ATOMIC_SPECIES
Pr 140.91 Pr.upf
Dy 162.50 Dy.upf
Tm 168.93 Tm.upf
ATOMIC_POSITIONS crystal
Pr 0.228 0.228 0.455
Pr 0.228 0.772 0.000
Pr 0.772 0.228 0.000
Pr 0.772 0.772 0.545
Dy 0.085 0.293 0.792
Dy 0.250 0.750 0.500
Dy 0.293 0.085 0.792
Dy 0.293 0.501 0.208
Dy 0.499 0.707 0.792
Dy 0.501 0.293 0.208
Dy 0.707 0.499 0.792
Dy 0.707 0.915 0.208
Dy 0.750 0.250 0.500
Dy 0.915 0.707 0.208
Tm 0.000 0.000 0.000
CELL_PARAMETERS angstrom
-5.664 5.664 3.978
5.664 -5.664 3.978
5.664 5.664 -3.978
```


Pr5Dy2Tm5 | GGA-PBE | relaxed Values from VASP.

Properties
SG = C2/m (12)
Formation energy from the elements = 0.022 eV/atom
Crystal system = monoclinic

The structure in Quantum ESPRESSO input format:
```
&SYSTEM
  ibrav = 0, nat = 12, ntyp = 3
/
ATOMIC_SPECIES
Pr 140.91 Pr.upf
Dy 162.50 Dy.upf
Tm 168.93 Tm.upf
ATOMIC_POSITIONS crystal
Pr 0.000 0.000 0.000
Pr 0.081 0.081 0.749
Pr 0.249 0.249 0.250
Pr 0.751 0.751 0.750
Pr 0.919 0.919 0.251
Dy 0.166 0.166 0.499
Dy 0.834 0.834 0.501
Tm 0.333 0.333 0.000
Tm 0.416 0.416 0.747
Tm 0.500 0.500 0.500
Tm 0.584 0.584 0.253
Tm 0.667 0.667 0.000
CELL_PARAMETERS angstrom
7.634 -2.530 0.000
7.634 2.530 0.000
-5.104 0.000 10.168
```


Pr2Dy6Tm3 | GGA-PBE | relaxed Values from VASP.

Properties
Relative energy among the computed polymorphs = 0 meV per atom
SG = C2/m (12)
Formation energy from the elements = 0.180 eV/atom
Crystal system = monoclinic

The structure in Quantum ESPRESSO input format:
```
&SYSTEM
  ibrav = 0, nat = 11, ntyp = 3
/
ATOMIC_SPECIES
Pr 140.91 Pr.upf
Dy 162.50 Dy.upf
Tm 168.93 Tm.upf
ATOMIC_POSITIONS crystal
Pr 0.167 0.833 0.000
Pr 0.833 0.167 0.000
Dy 0.082 0.415 0.745
Dy 0.251 0.251 0.255
Dy 0.415 0.082 0.745
Dy 0.585 0.918 0.255
Dy 0.749 0.749 0.745
Dy 0.918 0.585 0.255
Tm 0.000 0.000 0.500
Tm 0.335 0.665 0.500
Tm 0.665 0.335 0.500
CELL_PARAMETERS angstrom
3.047 -5.284 0.000
3.047 5.284 0.000
-2.052 0.000 11.523
```


Pr6Dy4Tm | GGA-PBE | relaxed Values from VASP.

Properties
Relative energy among the computed polymorphs = 0 meV per atom
SG = P-6m2 (187)
Formation energy from the elements = 0.138 eV/atom
Crystal system = hexagonal

The structure in Quantum ESPRESSO input format:
```
&SYSTEM
  ibrav = 0, nat = 11, ntyp = 3
/
ATOMIC_SPECIES
Pr 140.91 Pr.upf
Dy 162.50 Dy.upf
Tm 168.93 Tm.upf
ATOMIC_POSITIONS crystal
Pr 0.182 0.364 0.000
Pr 0.182 0.818 0.000
Pr 0.529 0.058 0.500
Pr 0.529 0.471 0.500
Pr 0.636 0.818 0.000
Pr 0.942 0.471 0.500
Dy 0.312 0.156 0.000
Dy 0.333 0.667 0.500
Dy 0.844 0.156 0.000
Dy 0.844 0.688 0.000
Tm 0.000 0.000 0.500
CELL_PARAMETERS angstrom
11.115 0.000 0.000
-5.558 9.626 0.000
0.000 0.000 3.581
```


PrDy2Tm | GGA-PBE | relaxed Values from VASP.

Properties
Relative energy among the computed polymorphs = 0 meV per atom
SG = Imm2 (44)
Formation energy from the elements = 0.016 eV/atom
Crystal system = orthorhombic

The structure in Quantum ESPRESSO input format:
```
&SYSTEM
  ibrav = 0, nat = 4, ntyp = 3
/
ATOMIC_SPECIES
Pr 140.91 Pr.upf
Dy 162.50 Dy.upf
Tm 168.93 Tm.upf
ATOMIC_POSITIONS crystal
Pr 0.000 0.000 0.000
Dy 0.414 0.661 0.753
Dy 0.908 0.661 0.247
Tm 0.496 0.996 0.500
CELL_PARAMETERS angstrom
-1.826 5.709 3.129
1.826 -5.709 3.129
1.826 5.709 -3.129
```


It is found that the calculated total energy values, taken in the order of the records, are -18.97, -22.74, -22.53, -65.65, -55.19, -48.61, -50.04, -18.39 eV/f.u..